Density functional theory data (SCAN) for a crystal of HfCrB3 relaxed with PBEsol.

Cell: 3.768 3.768 3.768 Å, 90.00 90.00 90.00°
Positions (direct):
Hf: 0.000 0.000 0.000
Cr: 0.500 0.500 0.500
B: 0.000 0.500 0.500
B: 0.500 0.000 0.500
B: 0.500 0.500 0.000

**V**: 53.5 Å³/cell
**Space group**: Pm-3m
**Formation energy**: 0.26 eV per atom
**Density of states at the Fermi level**: 2.1 states/eV per cell

Density functional theory data (SCAN) for a crystal of HfTlCrB2 relaxed with PBEsol.

Cell: 4.117 4.117 4.656 Å, 90.00 90.00 90.00°
Positions (direct):
Hf: 0.000 0.000 0.000
Tl: 0.500 0.500 0.000
Cr: 0.000 0.000 0.500
B: 0.000 0.500 0.500
B: 0.500 0.000 0.500

**V**: 78.9 Å³/cell
**Space group**: P4/mmm
**Formation energy**: 0.96 eV per atom
**Density of states at the Fermi level**: 2.4 states/eV per cell